First-principles (GGA-PBE) data for a relaxed Cd2CoB crystal, as listed in Alexandria via LeMat-Bulk.

ΔH_f (0 K)   531 meV/atom
Total moment   0.00 μB/cell
N(E_F)   0.76 states/eV per atom

Structure (extended XYZ):
```
8
Lattice="-4.7983 -7.6752 1.1361 1.3060 0.5177 9.0139 -3.3324 -2.5617 5.2464" Properties=species:S:1:pos:R:3 pbc="T T T"
Cd -3.4822 -4.4758 9.9958
Cd -2.4685 -3.4528 2.8642
Co 0.0000 0.0000 0.0000
Cd -5.8818 -8.3136 10.5612
Co -4.9384 -6.9078 5.7287
B -1.7462 -3.5787 5.0750
Cd -1.8169 -3.1962 7.3715
B -1.8863 -2.8114 9.6676
```